No. 1
The following is a DFT calculation (PBE) of a relaxed Er3Mn3Ga2Si crystal.

Computed properties:
* E: -6.21 eV per atom
* E_form (uncorrected): -313 kJ/mol of formula units
* Fermi-level density of states: 9.1 states/eV/cell

```
data_Er3Mn3Ga2Si
_space_group_name_H-M_alt 'P -6 2 m'
_space_group_IT_number 189
_space_group_name_Hall 'P -6 -2'
_cell_length_a 7.0253
_cell_length_b 7.0253
_cell_length_c 3.8958
_cell_angle_alpha 90.00
_cell_angle_beta 90.00
_cell_angle_gamma 120.00
loop_
_atom_site_label
_atom_site_type_symbol
_atom_site_fract_x
_atom_site_fract_y
_atom_site_fract_z
_atom_site_occupancy
Er1 Er 0.0000 0.5928 0.0000 1
Mn1 Mn 0.0000 0.2199 0.5000 1
Ga1 Ga 0.3333 0.6667 0.5000 1
Si1 Si 0.0000 0.0000 0.0000 1
```

No. 2
The following is a DFT calculation (PBE) of a relaxed RbMnHgCl6 crystal.

Computed properties:
* E: -3.44 eV per atom
* E_form (uncorrected): -911 kJ/mol of formula units
* Fermi-level density of states: 12.9 states/eV/cell

```
data_RbMnHgCl6
_space_group_name_H-M_alt 'P -3 1 c'
_space_group_IT_number 163
_space_group_name_Hall '-P 3 2c'
_cell_length_a 6.7597
_cell_length_b 6.7597
_cell_length_c 14.3141
_cell_angle_alpha 90.00
_cell_angle_beta 90.00
_cell_angle_gamma 120.00
loop_
_atom_site_label
_atom_site_type_symbol
_atom_site_fract_x
_atom_site_fract_y
_atom_site_fract_z
_atom_site_occupancy
Rb1 Rb 0.0000 0.0000 0.0000 1
Mn1 Mn 0.3333 0.6667 0.2500 1
Hg1 Hg 0.3333 0.6667 0.7500 1
Cl1 Cl 0.0344 0.3934 0.1507 1
```

No. 3
The following is a DFT calculation (PBE) of a relaxed Ba2TmReN4 crystal.

Computed properties:
* E: -7.18 eV per atom
* E_form (uncorrected): -323 kJ/mol of formula units
* Fermi-level density of states: 37.9 states/eV/cell

```
data_Ba2TmReN4
_space_group_name_H-M_alt 'F d d d'
_space_group_IT_number 70
_cell_length_a 5.8301
_cell_length_b 12.1052
_cell_length_c 20.9584
_cell_angle_alpha 90.00
_cell_angle_beta 90.00
_cell_angle_gamma 90.00
loop_
_space_group_symop_operation_xyz
'x,y,z'
'-x,-y,-z'
'-x+1/4,-y+1/4,z'
'x+1/4,y+1/4,-z'
'x,-y+1/4,-z+1/4'
'-x,y+1/4,z+1/4'
'-x+1/4,y,-z+1/4'
'x+1/4,-y,z+1/4'
'x,y+1/2,z+1/2'
'-x,-y+1/2,-z+1/2'
'-x+1/4,-y+3/4,z+1/2'
'x+1/4,y+3/4,-z+1/2'
'x,-y+3/4,-z+3/4'
'-x,y+3/4,z+3/4'
'-x+1/4,y+1/2,-z+3/4'
'x+1/4,-y+1/2,z+3/4'
'x+1/2,y,z+1/2'
'-x+1/2,-y,-z+1/2'
'-x+3/4,-y+1/4,z+1/2'
'x+3/4,y+1/4,-z+1/2'
'x+1/2,-y+1/4,-z+3/4'
'-x+1/2,y+1/4,z+3/4'
'-x+3/4,y,-z+3/4'
'x+3/4,-y,z+3/4'
'x+1/2,y+1/2,z'
'-x+1/2,-y+1/2,-z'
'-x+3/4,-y+3/4,z'
'x+3/4,y+3/4,-z'
'x+1/2,-y+3/4,-z+1/4'
'-x+1/2,y+3/4,z+1/4'
'-x+3/4,y+1/2,-z+1/4'
'x+3/4,-y+1/2,z+1/4'
loop_
_atom_site_label
_atom_site_type_symbol
_atom_site_fract_x
_atom_site_fract_y
_atom_site_fract_z
_atom_site_occupancy
Ba1 Ba 0.1250 0.1250 0.3064 1
Tm1 Tm 0.1250 0.1250 0.1250 1
Re1 Re 0.1250 0.1250 0.6250 1
N1 N 0.0789 0.2836 0.8310 1
```